# YZrAlHg, relaxed, DFT PBE
# Fermi-level density of states in states/eV/atom: 0.44
# Symmetry: F-43m, No. 216
# ΔE_f in meV per atom: -280
# Total energy in eV per atom: -5.044
data_YZrAlHg
_chemical_formula_sum 'Y1 Zr1 Al1 Hg1'
_cell_length_a 5.040
_cell_length_b 5.040
_cell_length_c 5.040
_cell_angle_alpha 60.00
_cell_angle_beta 60.00
_cell_angle_gamma 60.00
_space_group_name_H-M_alt 'P 1'
_space_group_IT_number 1
loop_
_space_group_symop_operation_xyz
'x,y,z'
loop_
_atom_site_label
_atom_site_type_symbol
_atom_site_fract_x
_atom_site_fract_y
_atom_site_fract_z
Al1 Al 0.250 0.250 0.250
Hg1 Hg 0.750 0.750 0.750
Y1 Y 0.000 0.000 0.000
Zr1 Zr 0.500 0.500 0.500

***

# Hg2Se, relaxed, DFT PBE
# Fermi-level density of states in states/eV/atom: 0.63
# Symmetry: P-3m1, No. 164
# Energy relative to the elements, uncorrected in eV/atom: 0.234
# Offset from the most stable computed form in meV per atom: 325.6
# Total energy in eV per atom: -1.129
data_Hg2Se
_chemical_formula_sum 'Hg2 Se1'
_cell_length_a 3.020
_cell_length_b 3.020
_cell_length_c 9.585
_cell_angle_alpha 90.00
_cell_angle_beta 90.00
_cell_angle_gamma 120.00
_space_group_name_H-M_alt 'P 1'
_space_group_IT_number 1
loop_
_space_group_symop_operation_xyz
'x,y,z'
loop_
_atom_site_label
_atom_site_type_symbol
_atom_site_fract_x
_atom_site_fract_y
_atom_site_fract_z
Hg1 Hg 0.667 0.333 0.672
Hg2 Hg 0.333 0.667 0.328
Se1 Se 0.000 0.000 0.000

***

# LiCu3Pb, relaxed, DFT PBE
# Fermi-level density of states in states/eV/atom: 0.13
# Symmetry: Pm-3m, No. 221
# Offset from the most stable computed form in meV per atom: 160.6
# ΔE_f in meV per atom: 660
# Total energy in eV per atom: -2.922
data_LiCu3Pb
_chemical_formula_sum 'Li1 Cu3 Pb1'
_cell_length_a 4.996
_cell_length_b 4.996
_cell_length_c 4.996
_cell_angle_alpha 90.00
_cell_angle_beta 90.00
_cell_angle_gamma 90.00
_space_group_name_H-M_alt 'P 1'
_space_group_IT_number 1
loop_
_space_group_symop_operation_xyz
'x,y,z'
loop_
_atom_site_label
_atom_site_type_symbol
_atom_site_fract_x
_atom_site_fract_y
_atom_site_fract_z
Pb1 Pb 0.000 0.000 0.000
Li1 Li 0.500 0.500 0.500
Cu1 Cu 0.000 0.000 0.500
Cu2 Cu 0.000 0.500 0.000
Cu3 Cu 0.500 0.000 0.000